Entry 1:
16
Lattice="10.806 0.000 0.000 0.000 10.806 0.000 0.000 0.000 4.249" Properties=species:S:1:pos:R:3 comment="TePd, optimized geometry, DFT GGA-PBE" dft_energy_ev_per_atom=-4.3136 sg="I4/m, No. 87" mass_density_g_cm3=6.3 pbc="T T T"
Te 4.635 2.428 0.000
Te 6.171 8.378 0.000
Te 8.378 4.635 0.000
Te 2.428 6.171 0.000
Te 10.038 7.831 2.124
Te 0.768 2.975 2.124
Te 2.975 10.038 2.124
Te 7.831 0.768 2.124
Pd 3.543 8.596 0.000
Pd 7.264 2.210 0.000
Pd 2.210 3.543 0.000
Pd 8.596 7.264 0.000
Pd 8.946 3.193 2.124
Pd 1.861 7.613 2.124
Pd 7.613 8.946 2.124
Pd 3.193 1.861 2.124

=====

Entry 2:
5
Lattice="-1.107 4.057 -2.406 -4.715 -0.881 0.684 0.135 2.498 4.149" Properties=species:S:1:pos:R:3 comment="YTc3Te, optimized geometry, DFT GGA-PBE" relative_energy_kj_per_mol_fu=0 sg="Pm-3m, No. 221" mass_density_g_cm3=7.5 pbc="T T T"
Y -2.843 2.837 1.214
Te 0.000 0.000 0.000
Tc -2.357 -0.441 0.342
Tc 0.068 1.249 2.075
Tc -0.554 2.028 -1.203

=====

Entry 3:
10
Lattice="-2.233 -1.256 2.399 -3.034 -1.014 -5.924 5.025 -8.997 -0.034" Properties=species:S:1:pos:R:3 comment="MnGaS3, optimized geometry, DFT GGA-PBE" relative_energy_kj_per_mol_fu=0 sg="C2/m, No. 12" mass_density_g_cm3=3.1 pbc="T T T"
Mn 2.324 -9.385 -0.183
Mn -2.567 -1.882 -3.376
Ga -1.047 -8.472 -2.843
Ga 0.803 -2.795 -0.716
S 0.030 -6.645 -3.452
S -0.273 -4.622 -0.107
S 0.686 -10.044 -2.053
S -0.929 -1.224 -1.505
S 3.033 -7.292 -0.995
S -3.276 -3.975 -2.563

=====

Entry 4:
6
Lattice="-3.356 3.506 0.155 1.180 -2.411 4.046 4.839 4.573 1.314" Properties=species:S:1:pos:R:3 comment="Li2SmMgTl2, optimized geometry, DFT GGA-PBE" formation_energy_ev_per_atom=-0.275 sg="P-3m1, No. 164" mass_density_g_cm3=7.2 pbc="T T T"
Li 3.011 2.721 3.657
Li -0.348 2.948 1.858
Sm 0.000 0.000 0.000
Mg 2.419 2.287 0.657
Tl 0.836 0.665 3.066
Tl 1.827 5.003 2.449

=====

Entry 5:
12
Lattice="-4.298 -2.012 2.469 2.767 -4.577 0.057 2.471 0.503 6.705" Properties=species:S:1:pos:R:3 comment="CdPd2Pt3, optimized geometry, DFT GGA-PBE" formation_energy_ev_per_atom=-0.041 relative_energy_kj_per_mol_fu=85 sg="C2/c, No. 15" mass_density_g_cm3=15.1 pbc="T T T"
Cd -3.089 -2.101 3.944
Cd 4.030 -3.986 5.287
Pd 1.562 -3.024 1.185
Pd 1.757 -4.626 3.460
Pd -0.621 -3.063 8.046
Pd -0.816 -1.460 5.771
Pt -0.520 -4.356 5.355
Pt -1.002 -1.536 0.943
Pt 1.461 -1.731 3.876
Pt 1.943 -4.550 8.288
Pt -0.683 -2.974 3.122
Pt 1.624 -3.112 6.109

=====

Entry 6:
15
Lattice="8.674 0.000 0.000 -4.337 7.512 -0.027 0.000 -4.980 7.573" Properties=species:S:1:pos:R:3 comment="Ba3Nd3PuSe8, optimized geometry, DFT GGA-PBE" dft_energy_ev_per_atom=-6.0174 sg="R-3m, No. 166" mass_density_g_cm3=5.8 pbc="T T T"
Ba 0.000 0.000 0.000
Ba -2.168 3.756 -0.013
Ba 2.168 3.756 -0.013
Nd 4.337 -2.490 3.786
Nd 2.168 1.266 3.773
Nd -2.168 1.266 3.773
Pu 0.000 -2.490 3.786
Se 0.000 2.510 2.083
Se 4.337 0.022 5.462
Se 4.337 2.521 2.124
Se 0.000 0.011 5.422
Se 6.511 -1.250 2.141
Se -2.174 3.782 5.405
Se 2.163 -1.250 2.141
Se 2.174 3.782 5.405

=====

Entry 7:
4
Lattice="-1.777 -2.985 8.276 -1.426 -5.464 6.976 0.813 -4.060 7.963" Properties=species:S:1:pos:R:3 comment="ZrCu2Si, optimized geometry, DFT GGA-PBE" dft_energy_ev_per_atom=-5.4340 sg="R-3m, No. 166" mass_density_g_cm3=6.7 pbc="T T T"
Cu -2.364 -12.376 22.966
Cu -1.221 -6.390 11.857
Si -0.598 -3.128 5.804
Zr -1.793 -9.383 17.412

=====

Entry 8:
6
Lattice="-2.998 -0.537 -2.744 0.718 -7.628 -1.705 -0.648 0.292 5.764" Properties=species:S:1:pos:R:3 comment="CaCoCl, optimized geometry, DFT GGA-PBE" dft_energy_ev_per_atom=-4.1892 sg="P1, No. 1" mass_density_g_cm3=3.1 pbc="T T T"
Ca -0.492 -4.678 -0.435
Ca -1.196 -0.665 2.156
Co -2.739 -6.621 -0.656
Co -1.195 -6.827 -2.285
Cl -2.528 -2.983 0.967
Cl -2.721 -7.308 1.520

=====

Entry 9:
3
Lattice="5.087 0.000 0.000 2.544 4.406 0.000 2.544 1.469 4.154" Properties=species:S:1:pos:R:3 comment="KAlW, optimized geometry, DFT GGA-PBE" formation_energy_ev_per_atom=2.587 relative_energy_kj_per_mol_fu=531 sg="F-43m, No. 216" mass_density_g_cm3=4.5 pbc="T T T"
K 2.544 1.469 1.038
Al 5.087 2.937 2.077
W 0.000 0.000 0.000

=====

Entry 10:
6
Lattice="4.067 0.000 0.000 0.000 4.067 0.000 0.000 0.000 12.606" Properties=species:S:1:pos:R:3 comment="NaCaCe, optimized geometry, DFT GGA-PBE" formation_energy_ev_per_atom=0.258 sg="P4/nmm, No. 129" mass_density_g_cm3=3.2 pbc="T T T"
Ca 2.034 0.000 3.251
Ca 0.000 2.034 9.355
Ce 2.034 0.000 6.835
Ce 0.000 2.034 5.771
Na 2.034 2.034 0.000
Na 0.000 0.000 0.000

=====

Entry 11:
4
Lattice="4.701 0.000 0.000 2.350 4.071 0.000 2.350 1.357 3.838" Properties=species:S:1:pos:R:3 comment="PaGaTcPt, optimized geometry, DFT GGA-PBE" formation_energy_ev_per_atom=-0.407 sg="F-43m, No. 216" mass_density_g_cm3=13.4 pbc="T T T"
Ga 7.051 4.071 2.879
Pa 2.350 1.357 0.960
Tc 0.000 0.000 0.000
Pt 4.701 2.714 1.919

=====

Entry 12:
4
Lattice="4.565 0.000 0.000 2.282 3.953 0.000 2.282 1.318 3.727" Properties=species:S:1:pos:R:3 comment="NpZnIrRu, optimized geometry, DFT GGA-PBE" formation_energy_ev_per_atom=-0.209 sg="F-43m, No. 216" mass_density_g_cm3=14.7 pbc="T T T"
Np 6.847 3.953 2.795
Ru 0.000 0.000 0.000
Zn 2.282 1.318 0.932
Ir 4.565 2.635 1.864

=====

Entry 13:
12
Lattice="-1.953 4.141 -0.798 -6.705 -6.626 -4.440 0.330 1.925 9.185" Properties=species:S:1:pos:R:3 comment="CaEr3Sn2, optimized geometry, DFT GGA-PBE" formation_energy_ev_per_atom=-0.429 sg="C2/m, No. 12" mass_density_g_cm3=7.2 pbc="T T T"
Ca -6.638 0.275 4.146
Ca -1.689 -0.835 -0.199
Er -4.550 -1.833 1.628
Er -7.615 -0.866 0.611
Er -2.929 2.306 5.606
Er -5.399 -2.866 -1.659
Er -0.713 0.307 3.337
Er -3.778 1.273 2.319
Sn -7.280 -2.883 2.860
Sn -1.047 2.324 1.088
Sn -4.887 0.153 -0.782
Sn -3.441 -0.712 4.729

=====

Entry 14:
3
Lattice="-4.364 1.732 2.108 -4.065 1.036 -2.983 -4.156 -3.032 0.170" Properties=species:S:1:pos:R:3 comment="NdGdAl, optimized geometry, DFT GGA-PBE" formation_energy_ev_per_atom=-0.047 relative_energy_kj_per_mol_fu=28 sg="F-43m, No. 216" mass_density_g_cm3=5.7 pbc="T T T"
Gd -6.292 -0.132 -0.352
Nd 0.000 0.000 0.000
Al -3.146 -0.066 -0.176

=====

Entry 15:
4
Lattice="12.112 -0.028 -0.016 11.540 3.679 -0.016 11.540 1.782 3.219" Properties=species:S:1:pos:R:3 comment="KY2In, optimized geometry, DFT GGA-PBE" formation_energy_ev_per_atom=0.053 sg="R-3m, No. 166" mass_density_g_cm3=3.8 pbc="T T T"
In 8.798 1.358 0.797
K 26.394 4.075 2.390
Y 34.549 5.334 3.128
Y 18.239 2.816 1.651

=====

Entry 16:
5
Lattice="4.722 0.000 0.000 0.000 4.722 0.000 0.000 0.000 4.722" Properties=species:S:1:pos:R:3 comment="Ir3OsC, optimized geometry, DFT GGA-PBE" formation_energy_ev_per_atom=3.139 relative_energy_kj_per_mol_fu=1117 sg="Pm-3m, No. 221" mass_density_g_cm3=12.3 pbc="T T T"
C 2.361 2.361 2.361
Ir 0.000 2.361 0.000
Ir 0.000 0.000 2.361
Ir 2.361 0.000 0.000
Os 0.000 0.000 0.000

=====

Entry 17:
5
Lattice="-4.437 -1.360 1.836 -0.047 -3.955 -3.042 2.284 -2.722 3.504" Properties=species:S:1:pos:R:3 comment="CdHRu3, optimized geometry, DFT GGA-PBE" relative_energy_kj_per_mol_fu=1175 sg="Pm-3m, No. 221" mass_density_g_cm3=5.6 pbc="T T T"
Ru -0.023 -1.978 -1.521
Ru 1.142 -1.361 1.752
Ru -2.218 -0.680 0.918
H -1.100 -4.018 1.149
Cd 0.000 0.000 0.000

=====

Entry 18:
18
Lattice="-2.821 4.514 1.940 -5.645 -8.711 3.787 5.355 -0.042 7.886" Properties=species:S:1:pos:R:3 comment="CeSmHo5Er2, optimized geometry, DFT GGA-PBE" formation_energy_ev_per_atom=0.176 sg="Cmc2_1, No. 36" mass_density_g_cm3=8.3 pbc="T T T"
Ce -2.932 -1.716 8.002
Ce -2.616 -2.504 2.022
Sm 2.172 0.968 9.177
Sm -3.419 -5.222 7.179
Ho -5.336 -5.084 4.070
Ho -0.243 -0.793 9.764
Ho -2.652 -6.111 10.364
Ho -0.493 -3.986 8.557
Ho -5.526 -4.050 9.660
Ho -0.012 0.863 6.248
Ho -1.974 -3.453 5.164
Ho -0.502 1.873 3.185
Ho -2.988 -0.251 4.510
Ho -0.107 -0.169 0.238
Er -2.466 -2.770 11.133
Er 1.856 -1.786 6.854
Er 0.128 -1.475 3.617
Er -5.448 -2.449 6.049

=====

Entry 19:
4
Lattice="3.492 0.000 0.000 0.000 3.492 0.000 0.000 0.000 8.909" Properties=species:S:1:pos:R:3 comment="Pr2SnGe, optimized geometry, DFT GGA-PBE" formation_energy_ev_per_atom=-0.654 sg="P4/mmm, No. 123" mass_density_g_cm3=7.2 pbc="T T T"
Pr 0.000 0.000 6.873
Pr 0.000 0.000 2.035
Ge 1.746 1.746 0.000
Sn 1.746 1.746 4.454

=====

Entry 20:
5
Lattice="5.727 0.000 0.000 0.000 5.727 0.000 0.000 0.000 5.727" Properties=species:S:1:pos:R:3 comment="Y3MgIn, optimized geometry, DFT GGA-PBE" formation_energy_ev_per_atom=0.345 relative_energy_kj_per_mol_fu=296 sg="Pm-3m, No. 221" mass_density_g_cm3=3.6 pbc="T T T"
Y 0.000 2.864 0.000
Y 0.000 0.000 2.864
Y 2.864 0.000 0.000
Mg 2.864 2.864 2.864
In 0.000 0.000 0.000

=====

Entry 21:
8
Lattice="-2.289 1.314 3.513 4.242 -0.980 5.878 2.749 6.434 2.132" Properties=species:S:1:pos:R:3 comment="AcCd5Hg2, optimized geometry, DFT GGA-PBE" formation_energy_ev_per_atom=-0.198 sg="Immm, No. 71" mass_density_g_cm3=9.6 pbc="T T T"
Ac 0.000 0.000 0.000
Cd 3.496 2.727 4.005
Cd 1.362 1.432 5.847
Cd 3.341 5.336 5.676
Cd 3.899 2.564 7.076
Cd 0.804 4.204 4.446
Hg 3.672 5.141 8.712
Hg 1.030 1.627 2.810

=====

Entry 22:
4
Lattice="1.802 0.000 5.812 -0.901 1.561 5.812 -0.901 -1.561 5.812" Properties=species:S:1:pos:R:3 comment="ZnRhN2, optimized geometry, DFT GGA-PBE" dft_energy_ev_per_atom=-5.7557 sg="R-3m, No. 166" mass_density_g_cm3=6.6 pbc="T T T"
Zn 0.000 0.000 0.000
Rh 0.000 0.000 8.718
N 0.000 0.000 15.562
N 0.000 0.000 1.873

=====

Entry 23:
6
Lattice="-1.621 -6.611 0.464 1.034 0.025 3.967 -4.712 2.387 1.213" Properties=species:S:1:pos:R:3 comment="KRePt, optimized geometry, DFT GGA-PBE" formation_energy_ev_per_atom=0.365 relative_energy_kj_per_mol_fu=40 sg="Pm, No. 6" mass_density_g_cm3=9.4 pbc="T T T"
Re -1.869 -2.506 2.621
Re -3.755 -2.608 0.995
K -1.540 1.019 2.514
K -4.752 1.401 1.230
Pt -4.152 -1.258 3.209
Pt -1.560 -4.003 0.432

=====

Entry 24:
11
Lattice="-4.499 4.982 0.578 -1.729 -6.273 1.751 4.702 1.852 6.664" Properties=species:S:1:pos:R:3 comment="U2Tl2CoSe6, optimized geometry, DFT GGA-PBE" dft_energy_ev_per_atom=-5.7401 sg="C2/m, No. 12" mass_density_g_cm3=7.4 pbc="T T T"
U -0.299 -1.603 4.693
U -1.227 2.165 4.300
Tl -4.020 3.037 0.781
Tl -2.207 -4.327 1.548
Co 2.351 0.926 3.332
Se -1.454 0.308 6.387
Se 2.294 -0.775 5.373
Se -0.071 0.254 2.606
Se 1.421 2.771 5.003
Se -3.819 1.337 3.620
Se -2.946 -2.209 3.990

=====

Entry 25:
5
Lattice="4.052 0.000 0.000 0.000 4.052 0.000 0.000 0.000 4.052" Properties=species:S:1:pos:R:3 comment="B3PtSe, optimized geometry, DFT GGA-PBE" relative_energy_kj_per_mol_fu=413 sg="Pm-3m, No. 221" mass_density_g_cm3=7.7 pbc="T T T"
B 0.000 2.026 0.000
B 0.000 0.000 2.026
B 2.026 0.000 0.000
Se 0.000 0.000 0.000
Pt 2.026 2.026 2.026

=====

Entry 26:
6
Lattice="4.165 0.000 0.000 -2.083 3.607 0.000 0.000 0.000 6.759" Properties=species:S:1:pos:R:3 comment="UInCo2Ge2, optimized geometry, DFT GGA-PBE" formation_energy_ev_per_atom=-0.123 sg="P-3m1, No. 164" mass_density_g_cm3=10.1 pbc="T T T"
U 0.000 0.000 3.380
In 0.000 0.000 0.000
Co 0.000 2.405 1.803
Co 2.083 1.202 4.956
Ge 0.000 2.405 5.004
Ge 2.083 1.202 1.755